(1)
18
Lattice="-2.233 -3.071 -4.950 0.469 -7.589 4.496 -7.366 4.866 0.305" Properties=species:S:1:pos:R:3 comment="CeSc5Sn3 (GGA-PBE, optimized geometry)" formation_enthalpy_0k_ev_per_atom=-0.57 e_tot_ev_per_atom=-6.082 pbc="T T T"
Ce 0.000 0.000 0.000
Ce -1.117 -1.535 -2.475
Sc -2.142 -3.437 3.099
Sc -5.871 -0.821 -0.773
Sc -4.754 0.714 1.702
Sc -3.259 -4.972 0.624
Sc -6.322 -4.138 -0.477
Sc -3.608 -8.304 0.883
Sc -1.522 -4.778 -2.246
Sc -2.808 -1.656 0.329
Sc -5.521 2.511 -1.032
Sc -0.242 -5.881 1.792
Sn -4.055 -3.242 -2.056
Sn -6.499 0.884 -3.512
Sn -1.368 -7.273 -0.768
Sn -5.075 -2.551 1.907
Sn -2.631 -6.677 3.364
Sn -0.396 -3.386 0.314

---

(2)
10
Lattice="8.173 2.386 -0.004 6.362 7.168 -0.010 -0.002 0.009 6.714" Properties=species:S:1:pos:R:3 comment="Ce2ScSn2 (GGA-PBE, optimized geometry)" formation_enthalpy_0k_ev_per_atom=-0.34 e_tot_ev_per_atom=-5.582 polymorph_energy_mev_per_atom=197 pbc="T T T"
Ce 7.679 6.082 3.349
Ce 4.500 2.492 -0.003
Ce 6.855 3.480 3.351
Ce 10.034 7.070 6.703
Sc 0.000 0.000 0.000
Sc 3.180 3.588 3.352
Sn 9.762 4.184 5.029
Sn 4.772 5.380 5.029
Sn 4.772 5.377 1.671
Sn 9.762 4.182 1.671

---

(3)
4
Lattice="3.888 0.000 0.000 0.000 3.888 0.000 0.000 0.000 6.806" Properties=species:S:1:pos:R:3 comment="CeScSn2 (GGA-PBE, optimized geometry)" formation_enthalpy_0k_ev_per_atom=-0.55 e_tot_ev_per_atom=-5.615 pbc="T T T"
Sc 1.944 1.944 0.000
Sn 0.000 0.000 5.306
Sn 0.000 0.000 1.500
Ce 1.944 1.944 3.403

---

(4)
4
Lattice="-3.216 0.221 -1.686 -1.127 -2.979 1.758 -2.580 4.204 5.470" Properties=species:S:1:pos:R:3 comment="CeSc2Sn (GGA-PBE, optimized geometry)" formation_enthalpy_0k_ev_per_atom=-0.26 e_tot_ev_per_atom=-5.913 polymorph_energy_mev_per_atom=124 pbc="T T T"
Sc -1.873 3.052 3.970
Sc -0.707 1.152 1.499
Sn -3.461 0.723 2.771
Ce -2.171 -1.379 0.036

---

(5)
7
Lattice="-4.041 -2.111 -0.198 1.521 -2.920 0.088 -2.628 -1.010 11.820" Properties=species:S:1:pos:R:3 comment="Ce2Sc2Sn3 (GGA-PBE, optimized geometry)" formation_enthalpy_0k_ev_per_atom=-0.47 e_tot_ev_per_atom=-5.691 pbc="T T T"
Ce -3.794 -3.532 9.933
Ce -1.353 -2.508 1.777
Sc -3.633 -3.544 6.760
Sc -1.515 -2.496 4.950
Sn -4.241 -2.096 3.731
Sn 0.000 0.000 0.000
Sn -2.427 -1.025 7.891

---

(6)
12
Lattice="-1.992 -5.374 2.859 5.826 -2.414 -0.477 0.090 7.225 6.468" Properties=species:S:1:pos:R:3 comment="Ce3ScSn2 (GGA-PBE, optimized geometry)" formation_enthalpy_0k_ev_per_atom=-0.44 e_tot_ev_per_atom=-5.801 pbc="T T T"
Ce 3.102 -1.439 3.236
Ce 0.823 0.876 5.614
Ce 4.679 2.212 4.023
Ce -0.754 -2.774 4.827
Ce 3.374 -4.497 1.072
Ce 0.460 -3.290 1.310
Sc 1.457 -0.604 -0.119
Sc 4.370 -1.811 -0.358
Sn 0.069 -0.361 2.663
Sn 3.856 -0.202 6.187
Sn 2.020 3.911 4.879
Sn 1.904 -4.474 3.971

---

(7)
10
Lattice="5.077 0.000 0.000 0.000 6.361 0.000 -2.539 0.000 8.812" Properties=species:S:1:pos:R:3 comment="Ce2ScSn2 (GGA-PBE, optimized geometry)" formation_enthalpy_0k_ev_per_atom=-0.54 e_tot_ev_per_atom=-5.778 polymorph_energy_mev_per_atom=0 pbc="T T T"
Ce 2.539 4.623 8.812
Ce 2.539 3.035 5.313
Ce 0.000 6.215 3.499
Ce 0.000 1.442 0.000
Sc 0.000 6.212 7.105
Sc 2.539 3.032 1.707
Sn 0.000 3.032 7.412
Sn 2.539 6.215 5.693
Sn 0.000 3.035 3.120
Sn 2.539 6.213 1.400

---

(8)
7
Lattice="4.640 0.000 0.000 0.000 6.578 -1.006 0.000 0.425 6.641" Properties=species:S:1:pos:R:3 comment="Ce4ScSn2 (GGA-PBE, optimized geometry)" formation_enthalpy_0k_ev_per_atom=-0.31 e_tot_ev_per_atom=-5.753 pbc="T T T"
Ce 0.000 5.547 4.463
Ce 0.000 1.456 1.171
Ce 2.320 0.213 3.320
Ce 2.320 3.289 -0.503
Sc 2.320 3.502 2.817
Sn 0.000 4.806 1.196
Sn 0.000 2.197 4.438

---

(9)
4
Lattice="3.466 0.000 0.000 1.733 3.002 0.000 1.733 1.001 9.952" Properties=species:S:1:pos:R:3 comment="CeScSn2 (GGA-PBE, optimized geometry)" formation_enthalpy_0k_ev_per_atom=-0.43 e_tot_ev_per_atom=-5.494 pbc="T T T"
Sc 0.000 0.000 0.000
Sn 5.199 3.002 7.636
Sn 1.733 1.001 2.316
Ce 3.466 2.001 4.976

---

(10)
12
Lattice="8.024 0.430 0.000 2.734 5.243 0.000 1.367 2.621 7.330" Properties=species:S:1:pos:R:3 comment="CeSc5Sn6 (GGA-PBE, optimized geometry)" formation_enthalpy_0k_ev_per_atom=-0.54 e_tot_ev_per_atom=-5.670 pbc="T T T"
Ce 0.000 0.000 0.000
Sc 5.379 2.837 5.154
Sc 1.367 2.622 2.594
Sc 5.379 2.837 0.000
Sc 2.734 5.243 4.736
Sc 6.746 5.458 2.176
Sn 6.600 1.810 2.553
Sn 4.158 3.864 2.553
Sn 2.649 1.680 0.000
Sn 8.109 3.994 0.000
Sn 7.967 4.431 4.777
Sn 5.525 6.485 4.777

---

(11)
6
Lattice="-1.274 4.914 0.171 -1.645 -0.216 -6.040 -3.669 -3.728 4.380" Properties=species:S:1:pos:R:3 comment="Ce2ScSn3 (GGA-PBE, optimized geometry)" formation_enthalpy_0k_ev_per_atom=-0.46 e_tot_ev_per_atom=-5.491 pbc="T T T"
Ce -2.442 1.971 0.594
Ce -4.146 -1.002 -2.083
Sc -0.822 -0.108 -3.020
Sn -3.655 -0.983 1.030
Sn 0.000 0.000 0.000
Sn -2.932 1.952 -2.519

---

(12)
4
Lattice="4.442 0.000 0.000 0.000 4.775 0.000 0.000 0.000 4.775" Properties=species:S:1:pos:R:3 comment="CeScSn2 (GGA-PBE, optimized geometry)" formation_enthalpy_0k_ev_per_atom=-0.56 e_tot_ev_per_atom=-5.629 pbc="T T T"
Sc 2.221 0.000 0.000
Sn 0.000 0.000 2.387
Sn 0.000 2.387 0.000
Ce 2.221 2.387 2.387

---

Please write out number 2 again, unchanged.
10
Lattice="8.173 2.386 -0.004 6.362 7.168 -0.010 -0.002 0.009 6.714" Properties=species:S:1:pos:R:3 comment="Ce2ScSn2 (GGA-PBE, optimized geometry)" formation_enthalpy_0k_ev_per_atom=-0.34 e_tot_ev_per_atom=-5.582 polymorph_energy_mev_per_atom=197 pbc="T T T"
Ce 7.679 6.082 3.349
Ce 4.500 2.492 -0.003
Ce 6.855 3.480 3.351
Ce 10.034 7.070 6.703
Sc 0.000 0.000 0.000
Sc 3.180 3.588 3.352
Sn 9.762 4.184 5.029
Sn 4.772 5.380 5.029
Sn 4.772 5.377 1.671
Sn 9.762 4.182 1.671